[1]
This record from Alexandria describes crystalline TlCrIr4 at its relaxed geometry. The functional is GGA-PBE.

Fermi-level density of states: 10.32 states/eV/f.u.
calculated formation energy: 3.0 eV/f.u.
mass density: 16.7 g/cm³

abc: 5.249 5.249 5.249
angles: 60.00 60.00 60.00
Element x y z (fractional)
Tl1 0.000 0.000 0.000
Cr1 0.750 0.750 0.750
Ir1 0.375 0.375 0.375
Ir2 0.375 0.375 0.874
Ir3 0.375 0.874 0.375
Ir4 0.874 0.375 0.375

[2]
This record from Alexandria describes crystalline La2Pm3Os2 at its relaxed geometry. The functional is GGA-PBE.

Fermi-level density of states: 5.30 states/eV/f.u.
calculated formation energy: -0.9 eV/f.u.
mass density: 8.9 g/cm³

abc: 6.541 6.541 8.950
angles: 112.73 112.73 35.71
Element x y z (fractional)
La1 0.169 0.169 0.303
La2 0.831 0.831 0.697
Pm1 0.377 0.377 0.080
Pm2 0.500 0.500 0.500
Pm3 0.623 0.623 0.920
Os1 0.182 0.182 0.728
Os2 0.818 0.818 0.272